Na2LiVPO6 (PBE+U, optimized geometry); total magnetic moment = 4.0 μB/cell; final energy = -6.39 eV/atom; crystal system = monoclinic
1.0
6.014 -0.081 0.000
-2.870 7.421 0.000
0.000 0.000 12.452
O Na V Li P
24 8 4 4 4
Direct
0.345 0.310 0.436
0.759 0.210 0.004
0.256 0.006 0.148
0.563 0.749 0.259
0.241 0.790 0.996
0.965 0.068 0.627
0.756 0.506 0.352
0.155 0.190 0.936
0.465 0.568 0.873
0.063 0.249 0.241
0.744 0.994 0.852
0.553 0.164 0.323
0.244 0.494 0.648
0.535 0.432 0.127
0.937 0.751 0.759
0.259 0.710 0.496
0.655 0.690 0.564
0.035 0.932 0.373
0.845 0.810 0.064
0.447 0.836 0.677
0.741 0.290 0.504
0.437 0.251 0.741
0.053 0.664 0.177
0.947 0.336 0.823
0.653 0.928 0.410
0.847 0.572 0.910
0.153 0.428 0.090
0.195 0.543 0.328
0.347 0.072 0.590
0.695 0.043 0.172
0.305 0.957 0.828
0.805 0.457 0.672
0.297 0.388 0.793
0.203 0.112 0.293
0.703 0.612 0.207
0.797 0.888 0.707
0.432 0.216 0.041
0.932 0.716 0.459
0.068 0.284 0.541
0.568 0.784 0.959
0.396 0.678 0.593
0.604 0.322 0.407
0.896 0.178 0.907
0.104 0.822 0.093